K3Na8Li: relaxed, GGA-PBE.

a = 7.1327 Å, b = 7.1327 Å, c = 35.8515 Å
α = 90.00°, β = 90.00°, γ = 120.00°
Space group R3m (No. 160, hexagonal axes)
Symmetry-distinct sites (fractional):
1 K 0.0000 0.0000 0.0000
2 K 0.0000 0.0000 0.1276
3 K 0.0000 0.0000 0.6200
4 Na 0.0000 0.0000 0.3125
5 Na 0.0000 0.0000 0.8129
6 Na 0.0047 0.5023 0.0654
7 Na 0.1670 0.3341 0.8925
8 Li 0.0000 0.0000 0.4987

## Properties
E = -1.27 eV per atom
ΔE_f = 0.042 eV/atom
N(E_F) = 0.541 states/eV per atom